# 1
First-principles (GGA-PBE) data for a geometry-optimized MnHgI3 structure, as listed in the Alexandria database.

Cell lengths 7.7864, 7.7864, 19.9398 Å; angles 90.00, 90.00, 120.00 degrees
Space group R3c (No. 161, hexagonal axes)
Asymmetric unit:
Mn  0.0000  0.0000  0.0000
Hg  0.0000  0.0000  0.2740
I  0.0613  0.3372  0.0760

Calculated values
Its crystal system is trigonal. The calculation puts the formation energy (no corrections) at -0.173 eV/atom. Its relative energy among the computed polymorphs is 0.173 eV per atom.

# 2
First-principles (GGA-PBE) data for a geometry-optimized PmDy2Tm2Sc2 structure, as listed in the Alexandria database.

Cell lengths 17.156, 3.380, 8.168 Å; angles 90.00, 116.67, 90.00 degrees
Space group C2/m (No. 12)
Asymmetric unit:
Pm  0.000  0.000  0.000
Dy  0.073  0.500  0.416
Tm  0.212  0.000  0.292
Sc  0.152  0.500  0.894

Calculated values
Its crystal system is monoclinic. As for the calculated formation energy: 180 meV per atom.

# 3
First-principles (GGA-PBE) data for a geometry-optimized CsNaRe3 structure, as listed in the Alexandria database.

Cell lengths 4.997, 4.997, 4.997 Å; angles 90.00, 90.00, 90.00 degrees
Space group Pm-3m (No. 221)
Asymmetric unit:
Cs  0.000  0.000  0.000
Na  0.500  0.500  0.500
Re  0.000  0.000  0.500

Calculated values
Its crystal system is cubic. As for the calculated formation energy: 3851 meV per atom. Its relative energy among the computed polymorphs is 0.352 eV per atom.

# 4
First-principles (GGA-PBE) data for a geometry-optimized YHf2Cr structure, as listed in the Alexandria database.

Cell lengths 4.207, 4.207, 20.126 Å; angles 90.00, 90.00, 90.00 degrees
Space group I-42d (No. 122)
Asymmetric unit:
Y  0.000  0.000  0.000
Hf  0.232  0.750  0.625
Cr  0.000  0.000  0.500

Calculated values
Its crystal system is tetragonal. As for the calculated formation energy: 837 meV per atom. Its relative energy among the computed polymorphs is 0.337 eV per atom.

# 5
First-principles (GGA-PBE) data for a geometry-optimized As2BrCl structure, as listed in the Alexandria database.

Cell lengths 3.296, 5.813, 9.074 Å; angles 90.00, 90.00, 90.00 degrees
Space group Immm (No. 71)
Asymmetric unit:
As  0.000  0.000  0.249
Br  0.000  0.500  0.000
Cl  0.000  0.500  0.500

Calculated values
Its crystal system is orthorhombic. The calculation puts the formation energy (no corrections) at 0.350 eV/atom. Its relative energy among the computed polymorphs is 0.670 eV per atom.

# 6
First-principles (GGA-PBE) data for a geometry-optimized NpPbS2O8 structure, as listed in the Alexandria database.

Cell lengths 5.9279, 5.9279, 6.8595 Å; angles 90.00, 90.00, 120.00 degrees
Space group P-3m1 (No. 164)
Asymmetric unit:
Np  0.0000  0.0000  0.0000
Pb  0.0000  0.0000  0.5000
S  0.3333  0.6667  0.7406
O  0.1967  0.3934  0.8174
O  0.3333  0.6667  0.5272

Calculated values
Its crystal system is trigonal. The calculation puts the formation energy (no corrections) at -1.495 eV/atom.

# 7
First-principles (GGA-PBE) data for a geometry-optimized PrHoTm structure, as listed in the Alexandria database.

Cell lengths 5.6721, 5.6721, 3.4843 Å; angles 90.00, 90.00, 120.00 degrees
Space group P-6m2 (No. 187)
Asymmetric unit:
Pr  0.0000  0.0000  0.0000
Ho  0.3333  0.6667  0.5000
Tm  0.6667  0.3333  0.5000

Calculated values
Its crystal system is hexagonal. As for the calculated formation energy: 78 meV per atom. Its relative energy among the computed polymorphs is 0.055 eV per atom.

# 8
First-principles (GGA-PBE) data for a geometry-optimized Ho4FeBr5 structure, as listed in the Alexandria database.

Cell lengths 18.000, 3.829, 8.821 Å; angles 90.00, 103.74, 90.00 degrees
Space group C2/m (No. 12)
Asymmetric unit:
Ho  0.000  0.000  0.225
Ho  0.138  0.500  0.072
Fe  0.000  0.500  0.000
Br  0.000  0.500  0.500
Br  0.167  0.000  0.327
Br  0.174  0.000  0.845

Calculated values
Its crystal system is monoclinic. The calculation puts the formation energy (no corrections) at -1.251 eV/atom.

# 9
First-principles (GGA-PBE) data for a geometry-optimized SrCa2GaIr structure, as listed in the Alexandria database.

Cell lengths 5.551, 5.551, 4.974 Å; angles 90.00, 90.00, 90.00 degrees
Space group P4/mmm (No. 123)
Asymmetric unit:
Sr  0.000  0.000  0.000
Ca  0.000  0.500  0.500
Ga  0.500  0.500  0.000
Ir  0.500  0.500  0.500

Calculated values
Its crystal system is tetragonal. As for the calculated formation energy: -252 meV per atom.

# 10
First-principles (GGA-PBE) data for a geometry-optimized K4Na3Cd structure, as listed in the Alexandria database.

Cell lengths 4.534, 4.534, 19.168 Å; angles 90.00, 90.00, 90.00 degrees
Space group P4/mmm (No. 123)
Asymmetric unit:
K  0.000  0.000  0.106
K  0.000  0.000  0.367
Na  0.500  0.500  0.234
Na  0.500  0.500  0.500
Cd  0.500  0.500  0.000

Calculated values
Its crystal system is tetragonal. As for the calculated formation energy: 17 meV per atom.

# 11
First-principles (GGA-PBE) data for a geometry-optimized HfNbFeCuW structure, as listed in the Alexandria database.

Cell lengths 9.844, 3.183, 6.888 Å; angles 90.00, 132.31, 90.00 degrees
Space group Cm (No. 8)
Asymmetric unit:
Hf  0.000  0.000  0.000
Nb  0.172  0.000  0.785
Fe  0.364  0.000  0.569
Cu  0.316  0.500  0.229
W  0.103  0.500  0.419

Calculated values
Its crystal system is monoclinic. As for the calculated formation energy: 150 meV per atom. Its relative energy among the computed polymorphs is 0.071 eV per atom.

# 12
First-principles (GGA-PBE) data for a geometry-optimized CuIrPbN2 structure, as listed in the Alexandria database.

Cell lengths 3.833, 3.833, 5.268 Å; angles 90.00, 90.00, 90.00 degrees
Space group P4/mmm (No. 123)
Asymmetric unit:
Cu  0.000  0.000  0.000
Ir  0.000  0.000  0.500
Pb  0.500  0.500  0.000
N  0.000  0.500  0.500

Calculated values
Its crystal system is tetragonal. The calculation puts the formation energy (no corrections) at 0.797 eV/atom.

# 13
First-principles (GGA-PBE) data for a geometry-optimized Dy2Cd3Hg4 structure, as listed in the Alexandria database.

Cell lengths 8.830, 5.025, 9.581 Å; angles 90.00, 91.77, 90.00 degrees
Space group C2/m (No. 12)
Asymmetric unit:
Dy  0.171  0.000  0.215
Cd  0.000  0.500  0.000
Cd  0.163  0.000  0.564
Hg  0.007  0.500  0.337
Hg  0.164  0.000  0.892

Calculated values
Its crystal system is monoclinic. As for the calculated formation energy: -294 meV per atom. Its relative energy among the computed polymorphs is 0.000 eV per atom.

# 14
First-principles (GGA-PBE) data for a geometry-optimized VFeI2N structure, as listed in the Alexandria database.

Cell lengths 5.557, 5.557, 3.662 Å; angles 90.00, 90.00, 90.00 degrees
Space group P4/mmm (No. 123)
Asymmetric unit:
V  0.000  0.000  0.000
Fe  0.500  0.500  0.500
I  0.000  0.500  0.000
N  0.000  0.000  0.500

Calculated values
Its crystal system is tetragonal. The calculation puts the formation energy (no corrections) at 0.482 eV/atom. Its relative energy among the computed polymorphs is 0.000 eV per atom.

# 15
First-principles (GGA-PBE) data for a geometry-optimized LaRe2P structure, as listed in the Alexandria database.

Cell lengths 3.292, 4.424, 5.205 Å; angles 90.00, 90.00, 90.00 degrees
Space group Pmmm (No. 47)
Asymmetric unit:
La  0.000  0.000  0.000
Re  0.000  0.500  0.500
Re  0.500  0.000  0.500
P  0.500  0.500  0.000

Calculated values
Its crystal system is orthorhombic. As for the calculated formation energy: 502 meV per atom.

# 16
First-principles (GGA-PBE) data for a geometry-optimized Tb3Nd2Ho3 structure, as listed in the Alexandria database.

Cell lengths 5.065, 5.065, 20.172 Å; angles 90.00, 90.00, 90.00 degrees
Space group Immm (No. 71)
Asymmetric unit:
Tb  0.000  0.000  0.000
Tb  0.000  0.500  0.377
Nd  0.000  0.000  0.250
Ho  0.000  0.000  0.500
Ho  0.000  0.500  0.123

Calculated values
Its crystal system is orthorhombic. As for the calculated formation energy: 21 meV per atom. Its relative energy among the computed polymorphs is 0.000 eV per atom.

# 17
First-principles (GGA-PBE) data for a geometry-optimized La2TbHo5 structure, as listed in the Alexandria database.

Cell lengths 7.161, 14.323, 5.094 Å; angles 90.00, 90.00, 90.00 degrees
Space group Pbam (No. 55)
Asymmetric unit:
La  0.249  0.125  0.000
Tb  0.000  0.500  0.500
Ho  0.000  0.000  0.500
Ho  0.001  0.750  0.500
Ho  0.249  0.375  0.000

Calculated values
Its crystal system is orthorhombic. As for the calculated formation energy: 33 meV per atom. Its relative energy among the computed polymorphs is 0.000 eV per atom.

# 18
First-principles (GGA-PBE) data for a geometry-optimized Ta2HgW structure, as listed in the Alexandria database.

Cell lengths 2.809, 2.809, 9.308 Å; angles 90.00, 90.00, 90.00 degrees
Space group P4mm (No. 99)
Asymmetric unit:
Ta  0.000  0.000  0.000
Ta  0.500  0.500  0.248
Hg  0.500  0.500  0.745
W  0.000  0.000  0.496

Calculated values
Its crystal system is tetragonal. As for the calculated formation energy: 389 meV per atom.

# 19
First-principles (GGA-PBE) data for a geometry-optimized Ce2Ni4SnAs3 structure, as listed in the Alexandria database.

Cell lengths 4.197, 4.197, 9.858 Å; angles 90.00, 90.00, 90.00 degrees
Space group P-4m2 (No. 115)
Asymmetric unit:
Ce  0.000  0.500  0.231
Ni  0.000  0.000  0.000
Ni  0.000  0.500  0.640
Ni  0.500  0.500  0.000
Sn  0.000  0.000  0.500
As  0.000  0.500  0.875
As  0.500  0.500  0.500

Calculated values
Its crystal system is tetragonal. As for the calculated formation energy: -739 meV per atom.

# 20
First-principles (GGA-PBE) data for a geometry-optimized CrAgSe2 structure, as listed in the Alexandria database.

Cell lengths 3.7338, 3.7338, 15.3534 Å; angles 90.00, 90.00, 120.00 degrees
Space group P6_3/mmc (No. 194)
Asymmetric unit:
Cr  0.0000  0.0000  0.0000
Ag  0.3333  0.6667  0.2500
Se  0.3333  0.6667  0.0868

Calculated values
Its crystal system is hexagonal. The calculation puts the formation energy (no corrections) at -0.356 eV/atom.